A geometry-optimized LaNi2SnSb structure, computed with PBE.

Lattice parameters (Å, degrees): 4.4423 4.4423 10.3038 90.00 90.00 90.00
With the nearest neighbours (Å) after each atom.
Fractional positions:
La 0.2500 0.2500 0.2391  8 Ni 3.32-3.42, 4 Sb 3.35, 4 Sn 3.49
La 0.7500 0.7500 0.7609  8 Ni 3.32-3.42, 4 Sb 3.35, 4 Sn 3.49
Ni 0.2500 0.2500 0.6297  1 Sb 2.51, 4 Sn 2.59
Ni 0.2500 0.7500 0.0000  4 Sb 2.58
Ni 0.7500 0.2500 0.0000  4 Sb 2.58
Ni 0.7500 0.7500 0.3703  1 Sb 2.51, 4 Sn 2.59
Sn 0.2500 0.7500 0.5000  4 Ni 2.59
Sn 0.7500 0.2500 0.5000  4 Ni 2.59
Sb 0.2500 0.2500 0.8734  5 Ni 2.51-2.58
Sb 0.7500 0.7500 0.1266  5 Ni 2.51-2.58

Summary:
Electronic total energy = -55.32 eV/cell
Energy relative to the lowest polymorph listed for this composition = 0 kJ/mol of formula units
Total magnetic moment = 0.0 μB per cell

A geometry-optimized LaNi2SnSb structure, computed with PBE.

Lattice parameters (Å, degrees): 4.5437 4.5437 9.9992 90.00 90.00 90.00
With the nearest neighbours (Å) after each atom.
Fractional positions:
La 0.2500 0.2500 0.2404  8 Ni 3.31-3.51, 5 Sn 3.41-3.65, 4 Sb 3.45
La 0.7500 0.7500 0.7596  8 Ni 3.31-3.51, 5 Sn 3.41-3.65, 4 Sb 3.45
Ni 0.2500 0.2500 0.6190  1 Sn 2.56, 4 Sb 2.56
Ni 0.2500 0.7500 0.0000  4 Sn 2.59
Ni 0.7500 0.2500 0.0000  4 Sn 2.59
Ni 0.7500 0.7500 0.3810  1 Sn 2.56, 4 Sb 2.56
Sn 0.2500 0.2500 0.8751  5 Ni 2.56-2.59
Sn 0.7500 0.7500 0.1249  5 Ni 2.56-2.59
Sb 0.2500 0.7500 0.5000  4 Ni 2.56
Sb 0.7500 0.2500 0.5000  4 Ni 2.56

Summary:
Electronic total energy = -54.46 eV/cell
Energy relative to the lowest polymorph listed for this composition = 41 kJ/mol of formula units
Total magnetic moment = 0.0 μB per cell

A geometry-optimized La2ScNi6 structure, computed with PBE.

Lattice parameters (Å, degrees): 5.3583 5.3583 7.6828 107.79 107.79 47.24
With the nearest neighbours (Å) after each atom.
Fractional positions:
La 0.2347 0.2347 0.2588  10 Ni 2.81-3.09
La 0.7653 0.7653 0.7412  10 Ni 2.81-3.09
Sc 0.0000 0.0000 0.5000  6 Ni 2.54-2.69
Ni 0.0827 0.0827 0.8510  5 Ni 2.46-2.71, 1 Sc 2.54
Ni 0.3756 0.3756 0.9833  5 Ni 2.37-2.65
Ni 0.4531 0.4531 0.6839  4 Ni 2.55-2.65, 2 Sc 2.69
Ni 0.5469 0.5469 0.3161  4 Ni 2.55-2.65, 2 Sc 2.69
Ni 0.6244 0.6244 0.0167  5 Ni 2.37-2.65
Ni 0.9173 0.9173 0.1490  5 Ni 2.46-2.71, 1 Sc 2.54

Summary:
Electronic total energy = -51.38 eV/cell
ΔH_f (0 K) = -0.20 eV/atom
Total magnetic moment = 0.0 μB per cell